Material: CaNiGeO4
Method: DFT, PBE+U
State: optimized geometry

```
14
Lattice="-0.023 -4.676 -4.153 4.276 -0.310 -4.384 4.287 -4.380 0.199" Properties=species:S:1:pos:R:3 pbc="T T T"
O 6.546 -7.043 -6.233
O 4.335 -2.574 -4.345
O 2.265 -4.661 -4.183
O 1.994 -2.322 -2.105
O 4.205 -6.792 -3.993
O 6.275 -4.705 -4.155
O 4.216 -4.609 -2.054
O 4.324 -4.757 -6.285
Ni 2.143 -2.190 0.099
Ni 2.132 -4.528 -1.977
Ca 0.000 0.000 0.000
Ca 4.281 -2.345 -2.092
Ge 5.237 -5.702 -3.027
Ge 3.303 -3.664 -5.311
```

Values from the calculation:
DOS at the Fermi energy = 0.0 states/eV/f.u.
Final energy = -6.0100 eV per atom
Symmetry = No. 74